# Ta6InS12 GGA-PBE optimized geometry
# **Electronic total energy**: -7.02 eV/atom
# **Total magnetic moment**: 0.0 Bohr magnetons per cell
# **ΔE_f (raw)**: -9.9 eV per formula unit
# **Space-group type**: R-3m
# **Theoretical density**: 7.027 g/cm³
data_Ta6InS12
_symmetry_space_group_name_H-M 'P 1'
_symmetry_Int_Tables_number 1
_cell_length_a 7.4930
_cell_length_b 7.4930
_cell_length_c 7.4930
_cell_angle_alpha 104.10
_cell_angle_beta 104.10
_cell_angle_gamma 104.10
loop_
_symmetry_equiv_pos_as_xyz
'x,y,z'
loop_
_atom_site_label
_atom_site_type_symbol
_atom_site_fract_x
_atom_site_fract_y
_atom_site_fract_z
Ta1 Ta 0.2464 0.2464 0.6356
Ta2 Ta 0.2464 0.6356 0.2464
Ta3 Ta 0.3644 0.7536 0.7536
Ta4 Ta 0.6356 0.2464 0.2464
Ta5 Ta 0.7536 0.3644 0.7536
Ta6 Ta 0.7536 0.7536 0.3644
In1 In 0.0000 0.0000 0.0000
S1 S 0.1268 0.5000 0.8732
S2 S 0.1268 0.8732 0.5000
S3 S 0.1761 0.4595 0.4595
S4 S 0.4595 0.1761 0.4595
S5 S 0.4595 0.4595 0.1761
S6 S 0.5000 0.1268 0.8732
S7 S 0.5000 0.8732 0.1268
S8 S 0.5405 0.5405 0.8239
S9 S 0.5405 0.8239 0.5405
S10 S 0.8239 0.5405 0.5405
S11 S 0.8732 0.1268 0.5000
S12 S 0.8732 0.5000 0.1268